(1)
# CaTb2Ho PBE relaxed
# Energy of formation, eV per atom: 0.131
# Volume, A^3/atom: 33.2
# Energy, eV per atom: -3.8286
# Energy above the most stable polymorph in this dataset, meV per atom: 72.9
data_CaTb2Ho
_chemical_formula_sum 'Ca1 Tb2 Ho1'
_symmetry_space_group_name_H-M 'P 4/m m m'
_symmetry_Int_Tables_number 123
_symmetry_space_group_name_Hall '-P 4 2'
_cell_length_a 5.115
_cell_length_b 5.115
_cell_length_c 5.072
_cell_angle_alpha 90.00
_cell_angle_beta 90.00
_cell_angle_gamma 90.00
loop_
_atom_site_label
_atom_site_type_symbol
_atom_site_fract_x
_atom_site_fract_y
_atom_site_fract_z
Ca1 Ca 0.000 0.000 0.000
Tb1 Tb 0.000 0.500 0.500
Ho1 Ho 0.500 0.500 0.000

***

(2)
# MgCd2 PBE relaxed
# Energy of formation, eV per atom: -0.037
# Volume, A^3/atom: 22.2
# Energy, eV per atom: -1.1784
data_MgCd2
_chemical_formula_sum 'Mg2 Cd4'
_symmetry_space_group_name_H-M 'P -6 m 2'
_symmetry_Int_Tables_number 187
_symmetry_space_group_name_Hall 'P -6 2'
_cell_length_a 3.2012
_cell_length_b 3.2012
_cell_length_c 15.0381
_cell_angle_alpha 90.00
_cell_angle_beta 90.00
_cell_angle_gamma 120.00
loop_
_atom_site_label
_atom_site_type_symbol
_atom_site_fract_x
_atom_site_fract_y
_atom_site_fract_z
Mg1 Mg 0.0000 0.0000 0.1658
Cd1 Cd 0.0000 0.0000 0.5000
Cd2 Cd 0.6667 0.3333 0.0000
Cd3 Cd 0.6667 0.3333 0.3301

***

(3)
# Li8InPb6 PBE relaxed
# Energy of formation, eV per atom: -0.171
# Volume, A^3/atom: 22.8
# Energy, eV per atom: -2.8579
data_Li8InPb6
_chemical_formula_sum 'Li24 In3 Pb18'
_symmetry_space_group_name_H-M 'R -3'
_symmetry_Int_Tables_number 148
_symmetry_space_group_name_Hall '-R 3'
_cell_length_a 8.3554
_cell_length_b 8.3554
_cell_length_c 16.9497
_cell_angle_alpha 90.00
_cell_angle_beta 90.00
_cell_angle_gamma 120.00
loop_
_atom_site_label
_atom_site_type_symbol
_atom_site_fract_x
_atom_site_fract_y
_atom_site_fract_z
Li1 Li 0.0000 0.0000 0.2352
Li2 Li 0.0360 0.7588 0.3961
In1 In 0.0000 0.0000 0.5000
Pb1 Pb 0.0195 0.7663 0.9066

***

(4)
# ZnWBr2 PBE relaxed
# Uncorrected formation energy, eV/f.u.: 1.09
# Volume, A^3/atom: 29.0
# Energy, eV per atom: -4.1212
# Energy above the most stable polymorph in this dataset, meV per atom: 123.9
data_ZnWBr2
_chemical_formula_sum 'Zn2 W2 Br4'
_symmetry_space_group_name_H-M 'C 1 m 1'
_symmetry_Int_Tables_number 8
_cell_length_a 9.901
_cell_length_b 3.142
_cell_length_c 7.914
_cell_angle_alpha 90.00
_cell_angle_beta 109.80
_cell_angle_gamma 90.00
loop_
_symmetry_equiv_pos_as_xyz
'x,y,z'
'x,-y,z'
'x+1/2,y+1/2,z'
'x+1/2,-y+1/2,z'
loop_
_atom_site_label
_atom_site_type_symbol
_atom_site_fract_x
_atom_site_fract_y
_atom_site_fract_z
Zn1 Zn 0.000 0.000 0.000
W1 W 0.229 0.500 0.000
Br1 Br 0.184 0.000 0.722
Br2 Br 0.333 0.000 0.278